Record 1
Computed, not measured: crystalline Tb7PtI12 at its relaxed geometry at the GGA-PBE level of DFT.

```
20
Lattice="7.888 4.554 3.570 -7.888 4.554 3.570 0.000 -9.108 3.570" Properties=species:S:1:pos:R:3 pbc="T T T"
Tb 0.000 0.000 0.000
Tb -2.158 -0.608 3.783
Tb 1.606 -1.565 3.783
Tb 0.553 2.173 3.783
Tb -0.553 -2.173 6.928
Tb -1.606 1.565 6.928
Tb 2.158 0.608 6.928
Pt 0.000 0.000 5.355
I -0.622 -2.491 1.711
I -1.846 1.784 1.711
I -3.109 -3.180 5.284
I -4.308 1.103 5.426
I 2.468 0.706 1.711
I 1.199 -4.282 5.426
I -1.199 4.282 5.284
I -2.468 -0.706 8.999
I 4.308 -1.103 5.284
I 3.109 3.180 5.426
I 1.846 -1.784 8.999
I 0.622 2.491 8.999
```

Results
Symmetry: R-3



Record 2
Computed, not measured: crystalline Tl3PtI at its relaxed geometry at the GGA-PBE level of DFT.

```
5
Lattice="5.424 0.000 0.000 0.000 5.424 0.000 0.000 0.000 5.424" Properties=species:S:1:pos:R:3 pbc="T T T"
Tl 0.000 0.000 2.712
Tl 0.000 2.712 0.000
Tl 2.712 0.000 0.000
Pt 0.000 0.000 0.000
I 2.712 2.712 2.712
```

Results
Symmetry: Pm-3m



Record 3
Computed, not measured: crystalline TmPt3I at its relaxed geometry at the GGA-PBE level of DFT.

```
5
Lattice="4.961 0.000 0.000 0.000 4.961 0.000 0.000 0.000 4.961" Properties=species:S:1:pos:R:3 pbc="T T T"
Tm 0.000 0.000 0.000
Pt 0.000 2.481 2.481
Pt 2.481 0.000 2.481
Pt 2.481 2.481 0.000
I 2.481 2.481 2.481
```

Results
Symmetry: Pm-3m



Record 4
Computed, not measured: crystalline ZnPtI6 at its relaxed geometry at the GGA-PBE level of DFT.

```
8
Lattice="7.117 0.000 0.000 3.542 6.178 0.000 3.552 2.052 6.257" Properties=species:S:1:pos:R:3 pbc="T T T"
Zn 0.000 0.000 0.000
Pt 7.106 4.115 3.128
I 6.014 6.082 4.681
I 4.861 4.162 1.574
I 5.950 2.184 4.680
I 8.262 6.046 1.577
I 9.351 4.068 4.683
I 8.197 2.147 1.576
```

Results
Symmetry: P-1



Number 1: theoretical density 6.11 g cm⁻³, final energy -82.772 eV/cell. Number 2: theoretical density 9.73 g cm⁻³, final energy -16.404 eV/cell. Number 3: theoretical density 11.98 g cm⁻³, final energy -21.788 eV/cell. Number 4: theoretical density 6.17 g cm⁻³, final energy -17.708 eV/cell.